Record 1
# Ti3ReB

An optimized crystal structure of Ti3ReB (PBE, the Alexandria database).

Calculated values
The polymorph energy (0 for the lowest one) comes out at 0.000 eV per atom. As for the formation energy from the elements: 0.03 eV/f.u.

abc: 4.2135 4.2135 4.2135
angles: 90.00 90.00 90.00
Last column: nearest neighbours and their distance in Å.
Sites, in units of the cell vectors:
Ti 0.0000 0.0000 0.5000  2 B 2.11
Ti 0.0000 0.5000 0.0000  2 B 2.11
Ti 0.5000 0.0000 0.0000  2 B 2.11
Re 0.5000 0.5000 0.5000  12 Ti 2.98
B 0.0000 0.0000 0.0000  6 Ti 2.11

=====

Record 2
# TiReB

An optimized crystal structure of TiReB (PBE, the Alexandria database).

Calculated values
The polymorph energy (0 for the lowest one) comes out at 0.000 eV per atom. As for the formation energy from the elements: -2.09 eV/f.u.

abc: 7.4004 7.4004 3.0761
angles: 90.00 90.00 154.97
Last column: nearest neighbours and their distance in Å.
Sites, in units of the cell vectors:
Ti 0.0854 0.9146 0.7500  6 B 2.34-2.36
Ti 0.9146 0.0854 0.2500  6 B 2.34-2.36
Re 0.3008 0.6992 0.7500  1 B 2.38, 4 Re 2.66
Re 0.6992 0.3008 0.2500  1 B 2.38, 4 Re 2.66
B 0.4654 0.5346 0.7500  2 B 1.83
B 0.5346 0.4654 0.2500  2 B 1.83

=====

Record 3
# TiReB

An optimized crystal structure of TiReB (PBE, the Alexandria database).

Calculated values
The polymorph energy (0 for the lowest one) comes out at 0.489 eV per atom. As for the formation energy from the elements: -0.62 eV/f.u.

abc: 4.7928 4.7928 4.7928
angles: 144.05 144.05 51.75
Last column: nearest neighbours and their distance in Å.
Sites, in units of the cell vectors:
Ti 0.0000 0.0000 0.0000  1 Re 2.46, 5 B 2.61-2.75
Re 0.2854 0.2854 0.0000  4 B 2.27, 1 Ti 2.46
B 0.6816 0.6816 0.0000  4 Re 2.27

=====

Which of these has the lowest formation energy from the elements? number 2

=====

Look up the formation energy from the elements of the third one. -0.62 eV/f.u.